# 1
# Ba2LiHgPt (GGA-PBE, optimized geometry)
# Theoretical density: 6113 kg/m3
# Crystal system: tetragonal
# Energy relative to the elements: -44 kJ/mol of atoms
# D(E_F): 0.788 states/eV per atom
# ΔE to the lowest computed polymorph: 6.7 kJ/mol of atoms
# Magnetization: 0.0 Bohr magnetons per cell
data_Ba2LiHgPt
_chemical_formula_sum 'Ba2 Li1 Hg1 Pt1'
_cell_length_a 6.132
_cell_length_b 6.132
_cell_length_c 4.892
_cell_angle_alpha 90.00
_cell_angle_beta 90.00
_cell_angle_gamma 90.00
_symmetry_space_group_name_H-M 'P 4/m m m'
_symmetry_Int_Tables_number 123
_symmetry_space_group_name_Hall '-P 4 2'
loop_
_atom_site_label
_atom_site_fract_x
_atom_site_fract_y
_atom_site_fract_z
Ba1 0.000 0.500 0.000
Li1 0.000 0.000 0.500
Hg1 0.500 0.500 0.500
Pt1 0.000 0.000 0.000


# 2
# Ho2ErGaN (GGA-PBE, optimized geometry)
# Theoretical density: 9224 kg/m3
# Crystal system: tetragonal
# D(E_F): 0.472 states/eV per atom
# Magnetization: 0.0 Bohr magnetons per cell
data_Ho2ErGaN
_chemical_formula_sum 'Ho2 Er1 Ga1 N1'
_cell_length_a 4.720
_cell_length_b 4.720
_cell_length_c 4.694
_cell_angle_alpha 90.00
_cell_angle_beta 90.00
_cell_angle_gamma 90.00
_symmetry_space_group_name_H-M 'P 4/m m m'
_symmetry_Int_Tables_number 123
_symmetry_space_group_name_Hall '-P 4 2'
loop_
_atom_site_label
_atom_site_fract_x
_atom_site_fract_y
_atom_site_fract_z
Ho1 0.000 0.500 0.000
Er1 0.000 0.000 0.500
Ga1 0.500 0.500 0.500
N1 0.000 0.000 0.000


# 3
# CaCeN (GGA-PBE, optimized geometry)
# Theoretical density: 4693 kg/m3
# Crystal system: orthorhombic
# D(E_F): 1.692 states/eV per atom
# ΔE to the lowest computed polymorph: 17.7 kJ/mol of atoms
# Magnetization: 2.8 Bohr magnetons per cell
data_CaCeN
_chemical_formula_sum 'Ca4 Ce4 N4'
_cell_length_a 3.436
_cell_length_b 25.047
_cell_length_c 3.194
_cell_angle_alpha 90.00
_cell_angle_beta 90.00
_cell_angle_gamma 90.00
_symmetry_space_group_name_H-M 'C m c m'
_symmetry_Int_Tables_number 63
_symmetry_space_group_name_Hall '-C 2c 2'
loop_
_atom_site_label
_atom_site_fract_x
_atom_site_fract_y
_atom_site_fract_z
Ca1 0.000 0.187 0.250
Ce1 0.000 0.424 0.750
N1 0.000 0.105 0.750


# 4
# SbAsOs2 (GGA-PBE, optimized geometry)
# Theoretical density: 13563 kg/m3
# Crystal system: orthorhombic
# D(E_F): 0.635 states/eV per atom
# ΔE to the lowest computed polymorph: 31.6 kJ/mol of atoms
# Magnetization: 0.0 Bohr magnetons per cell
data_SbAsOs2
_chemical_formula_sum 'Sb1 As1 Os2'
_cell_length_a 3.172
_cell_length_b 3.729
_cell_length_c 5.975
_cell_angle_alpha 90.00
_cell_angle_beta 90.00
_cell_angle_gamma 90.00
_symmetry_space_group_name_H-M 'P m m m'
_symmetry_Int_Tables_number 47
loop_
_symmetry_equiv_pos_as_xyz
'x,y,z'
'-x,-y,-z'
'-x,-y,z'
'x,y,-z'
'x,-y,-z'
'-x,y,z'
'-x,y,-z'
'x,-y,z'
loop_
_atom_site_label
_atom_site_fract_x
_atom_site_fract_y
_atom_site_fract_z
Sb1 0.000 0.000 0.000
As1 0.500 0.000 0.500
Os1 0.500 0.500 0.238


# 5
# PmSmCd4 (GGA-PBE, optimized geometry)
# Theoretical density: 8205 kg/m3
# Crystal system: cubic
# Energy relative to the elements: -28 kJ/mol of atoms
# D(E_F): 0.615 states/eV per atom
# ΔE to the lowest computed polymorph: 4.6 kJ/mol of atoms
# Magnetization: 0.0 Bohr magnetons per cell
data_PmSmCd4
_chemical_formula_sum 'Pm4 Sm4 Cd16'
_cell_length_a 8.449
_cell_length_b 8.449
_cell_length_c 8.449
_cell_angle_alpha 90.00
_cell_angle_beta 90.00
_cell_angle_gamma 90.00
_symmetry_space_group_name_H-M 'F -4 3 m'
_symmetry_Int_Tables_number 216
_symmetry_space_group_name_Hall 'F -4 2 3'
loop_
_atom_site_label
_atom_site_fract_x
_atom_site_fract_y
_atom_site_fract_z
Pm1 0.000 0.000 0.000
Sm1 0.250 0.250 0.250
Cd1 0.125 0.125 0.625


# 6
# MgCu2Te (GGA-PBE, optimized geometry)
# Theoretical density: 6124 kg/m3
# Crystal system: orthorhombic
# D(E_F): 0.375 states/eV per atom
# ΔE to the lowest computed polymorph: 3.8 kJ/mol of atoms
# Magnetization: 0.0 Bohr magnetons per cell
data_MgCu2Te
_chemical_formula_sum 'Mg1 Cu2 Te1'
_cell_length_a 3.112
_cell_length_b 3.991
_cell_length_c 6.090
_cell_angle_alpha 90.00
_cell_angle_beta 90.00
_cell_angle_gamma 90.00
_symmetry_space_group_name_H-M 'P m m m'
_symmetry_Int_Tables_number 47
loop_
_symmetry_equiv_pos_as_xyz
'x,y,z'
'-x,-y,-z'
'-x,-y,z'
'x,y,-z'
'x,-y,-z'
'-x,y,z'
'-x,y,-z'
'x,-y,z'
loop_
_atom_site_label
_atom_site_fract_x
_atom_site_fract_y
_atom_site_fract_z
Mg1 0.000 0.000 0.000
Cu1 0.500 0.500 0.197
Te1 0.500 0.000 0.500


# 7
# AcSmSbSe (GGA-PBE, optimized geometry)
# Theoretical density: 6970 kg/m3
# Crystal system: trigonal
# D(E_F): 0.795 states/eV per atom
# Magnetization: 2.1 Bohr magnetons per cell
data_AcSmSbSe
_chemical_formula_sum 'Ac6 Sm6 Sb6 Se6'
_cell_length_a 5.1939
_cell_length_b 5.1939
_cell_length_c 35.3722
_cell_angle_alpha 90.00
_cell_angle_beta 90.00
_cell_angle_gamma 120.00
_symmetry_space_group_name_H-M 'R -3 m'
_symmetry_Int_Tables_number 166
_symmetry_space_group_name_Hall '-R 3 2"'
loop_
_atom_site_label
_atom_site_fract_x
_atom_site_fract_y
_atom_site_fract_z
Ac1 0.0000 0.0000 0.2043
Sm1 0.0000 0.0000 0.3779
Sb1 0.0000 0.0000 0.0973
Se1 0.0000 0.0000 0.2971


# 8
# Rb2BaGeCl6 (GGA-PBE, optimized geometry)
# Theoretical density: 2892 kg/m3
# Crystal system: monoclinic
# D(E_F): 0.000 states/eV per atom
# ΔE to the lowest computed polymorph: 0.0 kJ/mol of atoms
# Magnetization: 0.0 Bohr magnetons per cell
data_Rb2BaGeCl6
_chemical_formula_sum 'Rb4 Ba2 Ge2 Cl12'
_cell_length_a 7.698
_cell_length_b 8.017
_cell_length_c 13.362
_cell_angle_alpha 90.00
_cell_angle_beta 124.24
_cell_angle_gamma 90.00
_symmetry_space_group_name_H-M 'P 1 21/c 1'
_symmetry_Int_Tables_number 14
loop_
_symmetry_equiv_pos_as_xyz
'x,y,z'
'-x,-y,-z'
'-x,y+1/2,-z+1/2'
'x,-y+1/2,z+1/2'
loop_
_atom_site_label
_atom_site_fract_x
_atom_site_fract_y
_atom_site_fract_z
Rb1 0.226 0.065 0.248
Ba1 0.500 0.000 0.000
Ge1 0.000 0.000 0.500
Cl1 0.127 0.219 0.944
Cl2 0.230 0.689 0.948
Cl3 0.334 0.033 0.732


# 9
# KTl12Au7 (GGA-PBE, optimized geometry)
# Theoretical density: 11901 kg/m3
# Crystal system: trigonal
# Energy relative to the elements: -4 kJ/mol of atoms
# D(E_F): 0.417 states/eV per atom
# Magnetization: 0.0 Bohr magnetons per cell
data_KTl12Au7
_chemical_formula_sum 'K3 Tl36 Au21'
_cell_length_a 14.7730
_cell_length_b 14.7730
_cell_length_c 8.5722
_cell_angle_alpha 90.00
_cell_angle_beta 90.00
_cell_angle_gamma 120.00
_symmetry_space_group_name_H-M 'R -3'
_symmetry_Int_Tables_number 148
_symmetry_space_group_name_Hall '-R 3'
loop_
_atom_site_label
_atom_site_fract_x
_atom_site_fract_y
_atom_site_fract_z
K1 0.0000 0.0000 0.0000
Tl1 0.0280 0.2347 0.3628
Tl2 0.0657 0.5911 0.6610
Au1 0.0000 0.0000 0.5000
Au2 0.0172 0.1687 0.7031


# 10
# Li2HoMgCd4 (GGA-PBE, optimized geometry)
# Theoretical density: 6249 kg/m3
# Crystal system: trigonal
# Energy relative to the elements: -19 kJ/mol of atoms
# D(E_F): 0.462 states/eV per atom
# Magnetization: 0.0 Bohr magnetons per cell
data_Li2HoMgCd4
_chemical_formula_sum 'Li6 Ho3 Mg3 Cd12'
_cell_length_a 4.8216
_cell_length_b 4.8216
_cell_length_c 25.8453
_cell_angle_alpha 90.00
_cell_angle_beta 90.00
_cell_angle_gamma 120.00
_symmetry_space_group_name_H-M 'R -3 m'
_symmetry_Int_Tables_number 166
_symmetry_space_group_name_Hall '-R 3 2"'
loop_
_atom_site_label
_atom_site_fract_x
_atom_site_fract_y
_atom_site_fract_z
Li1 0.0000 0.0000 0.2444
Ho1 0.0000 0.0000 0.0000
Mg1 0.0000 0.0000 0.5000
Cd1 0.0000 0.0000 0.1236
Cd2 0.0000 0.0000 0.3864


# 11
# Pt2RhCl (GGA-PBE, optimized geometry)
# Theoretical density: 13773 kg/m3
# Crystal system: orthorhombic
# D(E_F): 1.098 states/eV per atom
# ΔE to the lowest computed polymorph: 14.3 kJ/mol of atoms
# Magnetization: 0.0 Bohr magnetons per cell
data_Pt2RhCl
_chemical_formula_sum 'Pt4 Rh2 Cl2'
_cell_length_a 2.801
_cell_length_b 4.993
_cell_length_c 9.114
_cell_angle_alpha 90.00
_cell_angle_beta 90.00
_cell_angle_gamma 90.00
_symmetry_space_group_name_H-M 'C m m m'
_symmetry_Int_Tables_number 65
_symmetry_space_group_name_Hall '-C 2 2'
loop_
_atom_site_label
_atom_site_fract_x
_atom_site_fract_y
_atom_site_fract_z
Pt1 0.000 0.000 0.248
Rh1 0.000 0.500 0.000
Cl1 0.000 0.500 0.500


# 12
# AcZrAs2 (GGA-PBE, optimized geometry)
# Theoretical density: 8034 kg/m3
# Crystal system: tetragonal
# Energy relative to the elements: -66 kJ/mol of atoms
# D(E_F): 0.979 states/eV per atom
# ΔE to the lowest computed polymorph: 53.3 kJ/mol of atoms
# Magnetization: 0.0 Bohr magnetons per cell
data_AcZrAs2
_chemical_formula_sum 'Ac1 Zr1 As2'
_cell_length_a 5.205
_cell_length_b 5.205
_cell_length_c 3.571
_cell_angle_alpha 90.00
_cell_angle_beta 90.00
_cell_angle_gamma 90.00
_symmetry_space_group_name_H-M 'P 4/m m m'
_symmetry_Int_Tables_number 123
_symmetry_space_group_name_Hall '-P 4 2'
loop_
_atom_site_label
_atom_site_fract_x
_atom_site_fract_y
_atom_site_fract_z
Ac1 0.000 0.000 0.000
Zr1 0.500 0.500 0.000
As1 0.000 0.500 0.500


| no. | final energy (eV/atom) |
| --- | --- |
| 1 | -2.874 |
| 2 | -6.007 |
| 3 | -6.049 |
| 4 | -7.182 |
| 5 | -2.481 |
| 6 | -3.245 |
| 7 | -5.292 |
| 8 | -3.724 |
| 9 | -2.667 |
| 10 | -1.907 |
| 11 | -4.972 |
| 12 | -6.175 |